Tb3GaCu: optimized geometry, PBE.

Cell and atoms, written as POSCAR:
```
Tb3GaCu
1.0
5.891 -5.445 0.000
5.891 5.445 0.000
0.000 0.000 8.073
Tb Ga Cu
12 4 4
Direct
0.003 0.300 0.584
0.078 0.922 0.799
0.200 0.497 0.916
0.300 0.003 0.416
0.422 0.578 0.299
0.497 0.200 0.084
0.503 0.800 0.916
0.578 0.422 0.701
0.700 0.997 0.584
0.800 0.503 0.084
0.922 0.078 0.201
0.997 0.700 0.416
0.154 0.346 0.250
0.346 0.154 0.750
0.654 0.846 0.250
0.846 0.654 0.750
0.192 0.808 0.123
0.308 0.692 0.623
0.692 0.308 0.377
0.808 0.192 0.877
```

Calculated values
space-group type: Cmce (64)
E_tot: -0.3237 Ry per atom
spin magnetization: 0.00 μB/cell
E_form: -201 meV per atom